## PmPr4Dy2Sc (PBE)

Data for crystalline PmPr4Dy2Sc at its relaxed geometry.

Cell: 5.897 5.911 7.623 Å, 90.00 90.00 90.00°
Atoms (fractional coordinates):
Pm (0.000, 0.000, 0.000)
Pr (0.000, 0.500, 0.264)
Pr (0.000, 0.500, 0.736)
Pr (0.500, 0.000, 0.263)
Pr (0.500, 0.000, 0.737)
Dy (0.000, 0.000, 0.500)
Dy (0.500, 0.500, 0.000)
Sc (0.500, 0.500, 0.500)

## Properties
Energy relative to the elements in meV per atom: 101.4
Fermi-level density of states in states/eV per cell: 14.0
M_tot in μB per formula unit: 0.00



## TmHfMg2 (PBE)

Data for crystalline TmHfMg2 at its relaxed geometry.

Cell: 5.105 5.105 5.105 Å, 60.00 60.00 60.00°
Atoms (fractional coordinates):
Tm (0.000, 0.000, 0.000)
Hf (0.500, 0.500, 0.500)
Mg (0.250, 0.250, 0.250)
Mg (0.750, 0.750, 0.750)

## Properties
Energy above the lowest structure with this stoichiometry in eV per atom: 0.1236
Energy relative to the elements in meV per atom: 116.5
Fermi-level density of states in states/eV per cell: 3.2
M_tot in μB per formula unit: 0.00



## LiMg3B (PBE)

Data for crystalline LiMg3B at its relaxed geometry.

Cell: 4.607 4.607 4.607 Å, 90.00 90.00 90.00°
Atoms (fractional coordinates):
Li (0.000, 0.000, 0.000)
Mg (0.000, 0.500, 0.500)
Mg (0.500, 0.000, 0.500)
Mg (0.500, 0.500, 0.000)
B (0.500, 0.500, 0.500)

## Properties
Energy above the lowest structure with this stoichiometry in eV per atom: 0.0000
Energy relative to the elements in meV per atom: 200.1
Fermi-level density of states in states/eV per cell: 2.3
M_tot in μB per formula unit: 0.00



## KBa2Y (PBE)

Data for crystalline KBa2Y at its relaxed geometry.

Cell: 4.294 4.294 11.955 Å, 90.00 90.00 90.00°
Atoms (fractional coordinates):
K (0.000, 0.000, 0.000)
Ba (0.500, 0.500, 0.295)
Ba (0.500, 0.500, 0.705)
Y (0.000, 0.000, 0.500)

## Properties
Energy above the lowest structure with this stoichiometry in eV per atom: 0.0080
Energy relative to the elements in meV per atom: 210.5
Fermi-level density of states in states/eV per cell: 8.2
M_tot in μB per formula unit: 0.00



Question: The lowest Fermi-level density of states belongs to which entry?
Answer: LiMg3B